Record 1
SrCa2HoSe4 | PBE | optimized geometry

a = 7.293 Å, b = 4.208 Å, c = 7.340 Å
α = 90.00°, β = 109.30°, γ = 90.00°
Space group P2/m (No. 10)
One atom of each set of equivalent atoms:
1 Sr 0.000 0.000 0.000
2 Ca 0.500 0.000 0.500
3 Ca 0.500 0.500 0.000
4 Ho 0.000 0.500 0.500
5 Se 0.247 0.000 0.738
6 Se 0.255 0.500 0.264

Computed properties:
* calculated volume: 212.6 Å³/cell
* density: 5.07 g cm⁻³
* final energy: -4.95 eV/atom
* formation energy without anion corrections: -1.93 eV per atom
* magnetization: 0.0 Bohr magnetons per cell

---

Record 2
Ca3TbHo2Se6 | PBE | optimized geometry

a = 7.111 Å, b = 12.303 Å, c = 7.225 Å
α = 90.00°, β = 109.19°, γ = 90.00°
Space group C2/m (No. 12)
One atom of each set of equivalent atoms:
1 Ca 0.000 0.000 0.000
2 Ca 0.000 0.334 0.000
3 Tb 0.000 0.500 0.500
4 Ho 0.000 0.167 0.500
5 Se 0.246 0.000 0.745
6 Se 0.250 0.168 0.255

Computed properties:
* calculated volume: 597.0 Å³/cell
* density: 6.02 g cm⁻³
* final energy: -5.26 eV/atom
* formation energy without anion corrections: -1.87 eV per atom
* magnetization: 0.0 Bohr magnetons per cell

---

Record 3
Ca3Tb2HoSe6 | PBE | optimized geometry

a = 7.123 Å, b = 12.324 Å, c = 7.239 Å
α = 90.00°, β = 109.18°, γ = 90.00°
Space group C2/m (No. 12)
One atom of each set of equivalent atoms:
1 Ca 0.000 0.000 0.000
2 Ca 0.000 0.333 0.000
3 Tb 0.000 0.166 0.500
4 Ho 0.000 0.500 0.500
5 Se 0.247 0.334 0.746
6 Se 0.249 0.500 0.254

Computed properties:
* calculated volume: 600.3 Å³/cell
* density: 5.96 g cm⁻³
* final energy: -5.27 eV/atom
* formation energy without anion corrections: -1.88 eV per atom
* magnetization: 0.0 Bohr magnetons per cell

---

Record 4
CaTb4HoSe8 | PBE | optimized geometry

a = 8.4808 Å, b = 8.4808 Å, c = 20.7266 Å
α = 90.00°, β = 90.00°, γ = 120.00°
Space group R3m (No. 160, hexagonal axes)
One atom of each set of equivalent atoms:
1 Ca 0.0000 0.0000 0.0000
2 Tb 0.0000 0.0000 0.7504
3 Tb 0.0056 0.5028 0.8758
4 Ho 0.0000 0.0000 0.3729
5 Se 0.0000 0.0000 0.1347
6 Se 0.0000 0.0000 0.6175
7 Se 0.0228 0.5114 0.1270
8 Se 0.1801 0.3602 0.9560

Computed properties:
* calculated volume: 1291.0 Å³/cell
* density: 5.68 g cm⁻³
* final energy: -5.59 eV/atom
* formation energy without anion corrections: -1.80 eV per atom
* magnetization: 0.0 Bohr magnetons per cell

---

Record 5
CaTb3Ho2Se6 | PBE | optimized geometry

a = 17.852 Å, b = 4.079 Å, c = 8.226 Å
α = 90.00°, β = 103.49°, γ = 90.00°
Space group C2/m (No. 12)
One atom of each set of equivalent atoms:
1 Ca 0.000 0.000 0.000
2 Tb 0.000 0.000 0.500
3 Tb 0.167 0.500 0.827
4 Ho 0.170 0.500 0.340
5 Se 0.002 0.500 0.251
6 Se 0.166 0.000 0.580
7 Se 0.167 0.000 0.085

Computed properties:
* calculated volume: 582.5 Å³/cell
* density: 7.53 g cm⁻³
* final energy: -5.62 eV/atom
* formation energy without anion corrections: -1.79 eV per atom
* magnetization: 0.0 Bohr magnetons per cell

---

Record 6
Ca4Tb3HoSe8 | PBE | optimized geometry

a = 8.2184 Å, b = 8.2184 Å, c = 20.5348 Å
α = 90.00°, β = 90.00°, γ = 120.00°
Space group R-3m (No. 166, hexagonal axes)
One atom of each set of equivalent atoms:
1 Ca 0.0000 0.0000 0.0000
2 Ca 0.0000 0.5000 0.0000
3 Tb 0.0000 0.5000 0.5000
4 Ho 0.0000 0.0000 0.5000
5 Se 0.0000 0.0000 0.2491
6 Se 0.0019 0.5010 0.2486

Computed properties:
* calculated volume: 1201.1 Å³/cell
* density: 5.95 g cm⁻³
* final energy: -5.28 eV/atom
* formation energy without anion corrections: -1.88 eV per atom
* magnetization: 0.0 Bohr magnetons per cell

---

Record 7
Ca2TbHoSe4 | PBE | optimized geometry

a = 7.109 Å, b = 4.107 Å, c = 7.237 Å
α = 90.00°, β = 109.15°, γ = 90.00°
Space group P2/m (No. 10)
One atom of each set of equivalent atoms:
1 Ca 0.000 0.000 0.000
2 Ca 0.500 0.500 0.000
3 Tb 0.000 0.500 0.500
4 Ho 0.500 0.000 0.500
5 Se 0.251 0.000 0.746
6 Se 0.253 0.500 0.255

Computed properties:
* calculated volume: 199.6 Å³/cell
* density: 5.99 g cm⁻³
* final energy: -5.27 eV/atom
* formation energy without anion corrections: -1.87 eV per atom
* magnetization: 0.0 Bohr magnetons per cell

---

Record 8
CaTb3Ho4Se8 | PBE | optimized geometry

a = 8.1728 Å, b = 8.1728 Å, c = 20.0032 Å
α = 90.00°, β = 90.00°, γ = 120.00°
Space group R-3m (No. 166, hexagonal axes)
One atom of each set of equivalent atoms:
1 Ca 0.0000 0.0000 0.0000
2 Tb 0.0000 0.5000 0.0000
3 Ho 0.0000 0.0000 0.5000
4 Ho 0.0000 0.5000 0.5000
5 Se 0.0000 0.0000 0.2487
6 Se 0.9997 0.4999 0.2488

Computed properties:
* calculated volume: 1157.1 Å³/cell
* density: 7.79 g cm⁻³
* final energy: -5.65 eV/atom
* formation energy without anion corrections: -1.77 eV per atom
* magnetization: 0.0 Bohr magnetons per cell

---

Record 9
Ca2HoThSe4 | PBE | optimized geometry

a = 7.133 Å, b = 4.094 Å, c = 7.365 Å
α = 90.00°, β = 108.57°, γ = 90.00°
Space group P2/m (No. 10)
One atom of each set of equivalent atoms:
1 Ca 0.000 0.000 0.000
2 Ca 0.500 0.500 0.000
3 Ho 0.000 0.500 0.500
4 Th 0.500 0.000 0.500
5 Se 0.241 0.500 0.244
6 Se 0.243 0.000 0.748

Computed properties:
* calculated volume: 203.9 Å³/cell
* density: 6.46 g cm⁻³
* final energy: -5.51 eV/atom
* formation energy without anion corrections: -1.76 eV per atom
* magnetization: 0.0 Bohr magnetons per cell

---

Record 10
CaHoTh2Se4 | PBE | optimized geometry

a = 6.952 Å, b = 4.003 Å, c = 7.653 Å
α = 90.00°, β = 107.53°, γ = 90.00°
Space group P2/m (No. 10)
One atom of each set of equivalent atoms:
1 Ca 0.000 0.000 0.000
2 Ho 0.500 0.500 0.000
3 Th 0.000 0.500 0.500
4 Th 0.500 0.000 0.500
5 Se 0.247 0.500 0.233
6 Se 0.258 0.000 0.767

Computed properties:
* calculated volume: 203.1 Å³/cell
* density: 8.05 g cm⁻³
* final energy: -6.09 eV/atom
* formation energy without anion corrections: -1.67 eV per atom
* magnetization: 0.0 Bohr magnetons per cell

---

Record 11
CaHo2Tl3Se6 | PBE | optimized geometry

a = 7.322 Å, b = 12.683 Å, c = 7.878 Å
α = 90.00°, β = 108.02°, γ = 90.00°
Space group C2/m (No. 12)
One atom of each set of equivalent atoms:
1 Ca 0.000 0.000 0.000
2 Ho 0.000 0.333 0.000
3 Tl 0.000 0.164 0.500
4 Tl 0.000 0.500 0.500
5 Se 0.224 0.500 0.208
6 Se 0.243 0.172 0.211

Computed properties:
* calculated volume: 695.7 Å³/cell
* density: 6.95 g cm⁻³
* final energy: -4.54 eV/atom
* formation energy without anion corrections: -1.28 eV per atom
* magnetization: 0.0 Bohr magnetons per cell

---

Record 12
CaHo4Tm3Se8 | PBE | optimized geometry

a = 8.0979 Å, b = 8.0979 Å, c = 19.9094 Å
α = 90.00°, β = 90.00°, γ = 120.00°
Space group R-3m (No. 166, hexagonal axes)
One atom of each set of equivalent atoms:
1 Ca 0.0000 0.0000 0.0000
2 Ho 0.0000 0.0000 0.5000
3 Ho 0.0000 0.5000 0.5000
4 Tm 0.0000 0.5000 0.0000
5 Se 0.0000 0.0000 0.2513
6 Se 0.0027 0.5013 0.2506

Computed properties:
* calculated volume: 1130.7 Å³/cell
* density: 8.10 g cm⁻³
* final energy: -5.58 eV/atom
* formation energy without anion corrections: -1.73 eV per atom
* magnetization: 0.0 Bohr magnetons per cell

---

Record 13
CaHo2TmSe4 | PBE | optimized geometry

a = 7.050 Å, b = 4.057 Å, c = 7.068 Å
α = 90.00°, β = 109.16°, γ = 90.00°
Space group P2/m (No. 10)
One atom of each set of equivalent atoms:
1 Ca 0.000 0.000 0.000
2 Ho 0.000 0.500 0.500
3 Ho 0.500 0.000 0.500
4 Tm 0.500 0.500 0.000
5 Se 0.253 0.000 0.752
6 Se 0.254 0.500 0.251

Computed properties:
* calculated volume: 191.0 Å³/cell
* density: 7.43 g cm⁻³
* final energy: -5.47 eV/atom
* formation energy without anion corrections: -1.77 eV per atom
* magnetization: 0.0 Bohr magnetons per cell

---

Record 14
Ca2HoTmSe4 | PBE | optimized geometry

a = 7.074 Å, b = 4.087 Å, c = 7.197 Å
α = 90.00°, β = 109.17°, γ = 90.00°
Space group P2/m (No. 10)
One atom of each set of equivalent atoms:
1 Ca 0.000 0.000 0.000
2 Ca 0.500 0.500 0.000
3 Ho 0.000 0.500 0.500
4 Tm 0.500 0.000 0.500
5 Se 0.250 0.000 0.743
6 Se 0.254 0.500 0.258

Computed properties:
* calculated volume: 196.5 Å³/cell
* density: 6.17 g cm⁻³
* final energy: -5.22 eV/atom
* formation energy without anion corrections: -1.85 eV per atom
* magnetization: 0.0 Bohr magnetons per cell

---

Record 15
Ca2HoTm2Se6 | PBE | optimized geometry

a = 7.036 Å, b = 12.205 Å, c = 7.220 Å
α = 90.00°, β = 108.88°, γ = 90.00°
Space group C2/m (No. 12)
One atom of each set of equivalent atoms:
1 Ca 0.000 0.166 0.000
2 Ho 0.000 0.000 0.500
3 Tm 0.000 0.334 0.500
4 Se 0.244 0.500 0.740
5 Se 0.246 0.168 0.738

Computed properties:
* calculated volume: 586.7 Å³/cell
* density: 5.98 g cm⁻³
* final energy: -5.41 eV/atom
* formation energy without anion corrections: -1.92 eV per atom
* magnetization: 0.0 Bohr magnetons per cell

---

Record 16
CaHoTm4Se8 | PBE | optimized geometry

a = 8.3668 Å, b = 8.3668 Å, c = 20.5425 Å
α = 90.00°, β = 90.00°, γ = 120.00°
Space group R3m (No. 160, hexagonal axes)
One atom of each set of equivalent atoms:
1 Ca 0.0000 0.0000 0.0000
2 Ho 0.0000 0.0000 0.3724
3 Tm 0.0000 0.0000 0.7495
4 Tm 0.0055 0.5028 0.8753
5 Se 0.0000 0.0000 0.1354
6 Se 0.0000 0.0000 0.6167
7 Se 0.0194 0.5097 0.1278
8 Se 0.1800 0.3600 0.9536

Computed properties:
* calculated volume: 1245.4 Å³/cell
* density: 6.05 g cm⁻³
* final energy: -5.52 eV/atom
* formation energy without anion corrections: -1.78 eV per atom
* magnetization: 0.0 Bohr magnetons per cell

---

Record 17
CaYHo4Se8 | PBE | optimized geometry

a = 8.4258 Å, b = 8.4258 Å, c = 20.6749 Å
α = 90.00°, β = 90.00°, γ = 120.00°
Space group R3m (No. 160, hexagonal axes)
One atom of each set of equivalent atoms:
1 Ca 0.0000 0.0000 0.0000
2 Y 0.0000 0.0000 0.6275
3 Ho 0.0000 0.0000 0.2505
4 Ho 0.1695 0.3390 0.4580
5 Se 0.0000 0.0000 0.3833
6 Se 0.0000 0.0000 0.8651
7 Se 0.0258 0.5129 0.3794
8 Se 0.1766 0.3531 0.2056

Computed properties:
* calculated volume: 1271.1 Å³/cell
* density: 5.57 g cm⁻³
* final energy: -5.70 eV/atom
* formation energy without anion corrections: -1.80 eV per atom
* magnetization: 0.0 Bohr magnetons per cell

---

Record 18
CaY3Ho4Se8 | PBE | optimized geometry

a = 8.1664 Å, b = 8.1664 Å, c = 19.9904 Å
α = 90.00°, β = 90.00°, γ = 120.00°
Space group R-3m (No. 166, hexagonal axes)
One atom of each set of equivalent atoms:
1 Ca 0.0000 0.0000 0.0000
2 Y 0.0000 0.5000 0.0000
3 Ho 0.0000 0.0000 0.5000
4 Ho 0.0000 0.5000 0.5000
5 Se 0.0000 0.0000 0.2490
6 Se 0.0000 0.5000 0.2490

Computed properties:
* calculated volume: 1154.5 Å³/cell
* density: 6.90 g cm⁻³
* final energy: -5.99 eV/atom
* formation energy without anion corrections: -1.77 eV per atom
* magnetization: 0.0 Bohr magnetons per cell

---

Record 19
Ca3YHo3Se8 | PBE | optimized geometry

a = 8.1744 Å, b = 8.1744 Å, c = 20.4759 Å
α = 90.00°, β = 90.00°, γ = 120.00°
Space group R-3m (No. 166, hexagonal axes)
One atom of each set of equivalent atoms:
1 Ca 0.0000 0.5000 0.0000
2 Y 0.0000 0.0000 0.5000
3 Ho 0.0000 0.5000 0.5000
4 Se 0.0000 0.0000 0.2478
5 Se 0.0026 0.5013 0.7528

Computed properties:
* calculated volume: 1184.9 Å³/cell
* density: 5.62 g cm⁻³
* final energy: -5.52 eV/atom
* formation energy without anion corrections: -1.91 eV per atom
* magnetization: 0.0 Bohr magnetons per cell

---

Record 20
Ca3Y3HoSe8 | PBE | optimized geometry

a = 8.2035 Å, b = 8.2035 Å, c = 20.5250 Å
α = 90.00°, β = 90.00°, γ = 120.00°
Space group R-3m (No. 166, hexagonal axes)
One atom of each set of equivalent atoms:
1 Ca 0.0000 0.5000 0.0000
2 Y 0.0000 0.5000 0.5000
3 Ho 0.0000 0.0000 0.5000
4 Se 0.0000 0.0000 0.2486
5 Se 0.0009 0.5004 0.2471

Computed properties:
* calculated volume: 1196.2 Å³/cell
* density: 4.93 g cm⁻³
* final energy: -5.78 eV/atom
* formation energy without anion corrections: -1.93 eV per atom
* magnetization: 0.0 Bohr magnetons per cell